7
Lattice="-2.1058 3.2284 4.1651 2.1058 -3.2284 4.1651 2.1058 3.2284 -4.1651" Properties=species:S:1:pos:R:3 comment="CaPdF5, optimized geometry, DFT PBE" dos_ef_per_ev_fu=1.08 crystal_system=orthorhombic magnetic_moment_mub_per_cell=0.00 dft_energy_ev_per_atom=-4.7557 raw_formation_energy_ev_per_atom=-2.3913 pbc="T T T"
Ca 0.0000 0.0000 0.0000
Pd 0.0000 0.0000 4.1651
F 2.1058 1.2328 0.0000
F 0.0000 0.0000 2.1914
F 0.0000 3.2284 0.0000
F 0.0000 0.0000 6.1388
F 0.0000 1.9956 4.1651

8
Lattice="-1.7990 1.7990 11.3763 1.7990 -1.7990 11.3763 1.7990 1.7990 -11.3763" Properties=species:S:1:pos:R:3 comment="CaPd2F, optimized geometry, DFT PBE" dos_ef_per_ev_fu=1.89 crystal_system=tetragonal magnetic_moment_mub_per_cell=0.00 dft_energy_ev_per_atom=-4.7945 e_above_lowest_polymorph_mev_per_atom=0 raw_formation_energy_ev_per_atom=-1.2299 pbc="T T T"
Ca 0.0000 0.0000 0.0000
Ca 0.0000 1.7990 5.6882
Pd 0.8995 -0.8970 8.5322
Pd 0.9020 0.8995 2.8441
Pd 0.8995 2.6961 -2.8441
Pd 0.8970 0.8995 14.2204
F 1.7990 0.0000 5.6882
F 0.0000 0.0000 11.3763

16
Lattice="5.2643 0.0000 0.0000 -2.6322 4.5590 0.0000 0.0000 0.0000 9.9405" Properties=species:S:1:pos:R:3 comment="CaPdF6, optimized geometry, DFT PBE" dos_ef_per_ev_fu=0.00 crystal_system=trigonal magnetic_moment_mub_per_cell=0.00 dft_energy_ev_per_atom=-4.5910 raw_formation_energy_ev_per_atom=-2.2882 pbc="T T T"
Ca 0.0000 3.0394 2.4851
Ca 2.6322 1.5197 7.4554
Pd 0.0000 0.0000 0.0000
Pd 0.0000 0.0000 4.9703
F -0.7746 1.3764 6.1116
F -1.8275 3.2000 8.7991
F 0.7746 1.3764 8.7991
F -1.0529 4.5417 6.1116
F 1.5793 0.0173 1.1414
F 0.8047 1.3590 3.8289
F 1.8275 3.2000 6.1116
F 1.0529 4.5417 8.7991
F 3.6850 0.0173 3.8289
F 1.8575 3.1827 1.1414
F 4.4597 1.3590 1.1414
F 3.4068 3.1827 3.8289

9
Lattice="-2.0611 2.0611 8.6258 2.0611 -2.0611 8.6258 2.0611 2.0611 -8.6258" Properties=species:S:1:pos:R:3 comment="Ca2PdF6, optimized geometry, DFT PBE" crystal_system=tetragonal magnetic_moment_mub_per_cell=2.00 dft_energy_ev_per_atom=-5.0628 e_above_lowest_polymorph_mev_per_atom=164 raw_formation_energy_ev_per_atom=-2.7935 pbc="T T T"
Ca 0.0000 0.0000 3.0975
Ca 0.0000 0.0000 14.1542
Pd 0.0000 0.0000 8.6258
F 1.1253 1.1253 -1.6229
F 2.0611 0.0000 4.3129
F 0.9358 -0.9358 10.2488
F 0.9358 0.9358 7.0029
F 0.0000 2.0611 4.3129
F -0.9358 0.9358 10.2488

8
Lattice="2.6831 1.5491 4.9008 -2.6831 1.5491 4.9008 0.0000 -3.0982 4.9008" Properties=species:S:1:pos:R:3 comment="CaPdF6, optimized geometry, DFT PBE" dos_ef_per_ev_fu=0.00 crystal_system=trigonal magnetic_moment_mub_per_cell=0.00 dft_energy_ev_per_atom=-4.5953 raw_formation_energy_ev_per_atom=-2.2925 pbc="T T T"
Ca 0.0000 0.0000 0.0000
Pd 0.0000 0.0000 7.3511
F -0.7654 -1.3843 6.2149
F -1.5815 -0.0293 8.4873
F -0.8161 1.3550 6.2149
F 0.8161 -1.3550 8.4874
F 1.5816 0.0293 6.2149
F 0.7654 1.3843 8.4874

5
Lattice="4.8708 0.0000 0.0000 0.0000 4.8708 0.0000 0.0000 0.0000 4.8708" Properties=species:S:1:pos:R:3 comment="Ca3PdF, optimized geometry, DFT PBE" dos_ef_per_ev_fu=2.25 crystal_system=cubic magnetic_moment_mub_per_cell=0.00 dft_energy_ev_per_atom=-3.8415 e_above_lowest_polymorph_mev_per_atom=0 raw_formation_energy_ev_per_atom=-1.2277 pbc="T T T"
Ca 0.0000 0.0000 2.4354
Ca 0.0000 2.4354 0.0000
Ca 2.4354 0.0000 0.0000
Pd 2.4354 2.4354 2.4354
F 0.0000 0.0000 0.0000

4
Lattice="0.0000 3.2550 3.2550 3.2550 0.0000 3.2550 3.2550 3.2550 0.0000" Properties=species:S:1:pos:R:3 comment="CaPd2F, optimized geometry, DFT PBE" dos_ef_per_ev_fu=0.92 crystal_system=cubic magnetic_moment_mub_per_cell=0.00 dft_energy_ev_per_atom=-4.1398 e_above_lowest_polymorph_mev_per_atom=655 raw_formation_energy_ev_per_atom=-0.5751 pbc="T T T"
Ca 0.0000 0.0000 0.0000
Pd 1.6275 1.6275 1.6275
Pd 4.8824 4.8824 4.8824
F 3.2550 3.2550 3.2550

28
Lattice="-4.4602 4.4617 5.1908 4.4602 -4.4617 5.1908 4.4602 4.4617 -5.1908" Properties=species:S:1:pos:R:3 comment="CaPd2F11, optimized geometry, DFT PBE" dos_ef_per_ev_fu=15.97 crystal_system=orthorhombic magnetic_moment_mub_per_cell=1.52 dft_energy_ev_per_atom=-4.0484 raw_formation_energy_ev_per_atom=-1.6932 pbc="T T T"
Ca 0.0000 0.0000 2.5954
Ca 0.0000 0.0000 7.7862
Pd 5.9075 1.4521 0.0000
Pd 1.4473 3.0096 0.0000
Pd 3.0129 1.4521 5.1908
Pd -1.4473 3.0096 5.1908
F 4.4602 0.0000 0.0000
F 2.0170 -0.5096 1.3658
F 4.9608 -2.4445 3.8258
F 4.9608 2.4445 -1.3650
F 2.7600 1.6899 0.0000
F 6.9034 0.5096 1.3658
F 2.4432 3.9521 -1.3658
F 2.7600 -1.6899 5.1908
F 0.5006 2.0172 1.3650
F 4.9608 2.4445 1.3650
F 2.0170 0.5096 3.8250
F 0.0000 4.4617 0.0000
F 2.4432 3.9521 1.3658
F -0.5006 2.0172 3.8258
F 3.9596 2.4445 3.8258
F 1.7002 6.1516 0.0000
F 2.0170 0.5096 6.5567
F -2.4432 3.9521 3.8250
F 1.7002 2.7718 5.1908
F -0.5006 2.0172 6.5559
F -0.5006 6.9062 1.3650
F 2.4432 4.9713 3.8250

18
Lattice="4.0350 2.3296 5.9065 -4.0350 2.3296 5.9065 0.0000 -4.6593 5.9065" Properties=species:S:1:pos:R:3 comment="Rb2CaPd3F12, optimized geometry, DFT PBE" dos_ef_per_ev_fu=3.18 crystal_system=trigonal magnetic_moment_mub_per_cell=0.00 dft_energy_ev_per_atom=-4.4010 raw_formation_energy_ev_per_atom=-2.0693 pbc="T T T"
Rb 0.0000 0.0000 2.4934
Rb 0.0000 0.0000 15.2262
Ca 0.0000 0.0000 8.8598
Pd -2.0175 -1.1648 5.9065
Pd -2.0175 1.1648 11.8131
Pd 0.0000 2.3296 5.9065
F -1.8173 -1.0492 7.9063
F 0.0000 -1.7160 5.7278
F -1.4861 0.8580 5.7278
F 0.0000 -2.0984 9.8133
F -1.8173 1.0492 9.8133
F -1.4861 -0.8580 11.9918
F 1.4861 0.8580 5.7278
F 1.8173 -1.0492 7.9063
F 0.0000 2.0984 7.9063
F 1.4861 -0.8580 11.9918
F 0.0000 1.7160 11.9918
F 1.8173 1.0492 9.8133

10
Lattice="0.0000 4.4499 4.4499 4.4499 0.0000 4.4499 4.4499 4.4499 0.0000" Properties=species:S:1:pos:R:3 comment="Rb2CaPdF6, optimized geometry, DFT PBE" dos_ef_per_ev_fu=0.00 crystal_system=cubic magnetic_moment_mub_per_cell=2.00 dft_energy_ev_per_atom=-4.6740 raw_formation_energy_ev_per_atom=-2.6383 pbc="T T T"
Rb 2.2250 2.2250 2.2250
Rb 6.6749 6.6749 6.6749
Ca 0.0000 0.0000 0.0000
Pd 4.4499 4.4499 4.4499
F 4.4499 4.4499 2.2450
F 4.4499 2.2450 4.4499
F 6.6549 4.4499 4.4499
F 2.2450 4.4499 4.4499
F 4.4499 6.6549 4.4499
F 4.4499 4.4499 6.6549

18
Lattice="-3.7658 4.0114 5.1391 3.7658 -4.0114 5.1391 3.7658 4.0114 -5.1391" Properties=species:S:1:pos:R:3 comment="RbCaPdF6, optimized geometry, DFT PBE" dos_ef_per_ev_fu=1.59 crystal_system=orthorhombic magnetic_moment_mub_per_cell=0.03 dft_energy_ev_per_atom=-4.6816 raw_formation_energy_ev_per_atom=-2.5271 pbc="T T T"
Rb 0.0000 2.0057 1.5060
Rb 3.7658 2.0057 3.6331
Ca 1.8829 2.0057 -2.5695
Ca 1.8829 -2.0057 2.5695
Pd 3.7658 0.0000 0.0000
Pd 0.0000 0.0000 5.1391
F 3.7658 -2.0057 3.7413
F 2.3578 0.1639 1.3938
F 5.1738 0.1639 1.3938
F 3.7658 2.0057 -0.7585
F 2.3578 4.1753 -1.3938
F 1.4080 0.1639 3.7453
F 2.3578 3.8476 1.3938
F 1.4080 -0.1639 6.5328
F 0.0000 2.0057 5.8976
F -1.4080 3.8476 3.7453
F 1.4080 3.8476 3.7453
F 0.0000 6.0171 1.3978

15
Lattice="6.2279 0.0000 0.0000 -3.1139 5.3935 0.0000 0.0000 0.0000 7.6209" Properties=species:S:1:pos:R:3 comment="Rb3CaPd2F9, optimized geometry, DFT PBE" dos_ef_per_ev_fu=2.04 crystal_system=trigonal magnetic_moment_mub_per_cell=0.00 dft_energy_ev_per_atom=-4.5099 raw_formation_energy_ev_per_atom=-2.3678 pbc="T T T"
Rb 0.0000 0.0000 0.0000
Rb 0.0000 3.5957 5.1033
Rb 3.1139 1.7978 2.5176
Ca 0.0000 0.0000 3.8105
Pd 0.0000 3.5957 1.2061
Pd 3.1139 1.7978 6.4148
F -1.5570 2.6968 0.0000
F 0.0000 1.8083 2.4920
F -1.5479 4.4894 2.4920
F 1.5660 0.9041 5.1289
F 3.1139 0.0000 0.0000
F 1.5570 2.6968 0.0000
F 1.5479 4.4894 2.4920
F 4.6619 0.9041 5.1289
F 3.1139 3.5852 5.1289